1.
Mn2NiCl | GGA-PBE | relaxed

It has space group C2/m (No. 12), with a = 7.449 Å, b = 2.951 Å, c = 7.384 Å, α = 90.00°, β = 119.63° and γ = 90.00°. The inequivalent atoms are Mn at (0.128, 0.000, 0.317), Ni at (0.000, 0.500, 0.500) and Cl at (0.000, 0.500, 0.000).

The calculation puts the raw formation energy at 0.07 eV per atom.

---

2.
CsRbNiH6 | GGA-PBE | relaxed

It has space group P1 (No. 1), with a = 5.473 Å, b = 5.756 Å, c = 5.764 Å, α = 60.09°, β = 89.70° and γ = 89.89°. The inequivalent atoms are Cs at (0.000, 0.000, 0.000), Rb at (0.529, 0.667, 0.665), Ni at (0.323, 0.334, 0.332), H at (0.161, 0.457, 0.456), H at (0.162, 0.087, 0.456), H at (0.162, 0.456, 0.087), H at (0.482, 0.210, 0.581), H at (0.482, 0.584, 0.207) and H at (0.483, 0.209, 0.207).

The value obtained for the energy is -3.24 eV/atom.

---

3.
MnSbPb2Se5 | GGA-PBE | relaxed

It has space group Cmc2_1 (No. 36), with a = 4.157 Å, b = 18.598 Å, c = 12.835 Å, α = 90.00°, β = 90.00° and γ = 90.00°. The inequivalent atoms are Mn at (0.000, 0.051, 0.000), Sb at (0.000, 0.298, 0.621), Pb at (0.000, 0.369, 0.277), Pb at (0.000, 0.393, 0.925), Se at (0.000, 0.009, 0.335), Se at (0.000, 0.156, 0.604), Se at (0.000, 0.178, 0.954), Se at (0.000, 0.208, 0.270) and Se at (0.000, 0.482, 0.588).

The calculation puts the raw formation energy at -0.38 eV per atom.

---

4.
Sr2LaBr | GGA-PBE | relaxed

It has space group I-4m2 (No. 119), with a = 4.975 Å, b = 4.975 Å, c = 13.841 Å, α = 90.00°, β = 90.00° and γ = 90.00°. The inequivalent atoms are Sr at (0.000, 0.000, 0.000), Sr at (0.000, 0.500, 0.250), La at (0.000, 0.000, 0.500) and Br at (0.000, 0.500, 0.750).

The calculation puts the raw formation energy at -0.20 eV per atom.

---

5.
UPd2Pt3 | GGA-PBE | relaxed

It has space group Fmmm (No. 69), with a = 5.603 Å, b = 9.001 Å, c = 16.511 Å, α = 90.00°, β = 90.00° and γ = 90.00°. The inequivalent atoms are U at (0.000, 0.000, 0.158), Pd at (0.250, 0.000, 0.000), Pd at (0.250, 0.250, 0.250), Pt at (0.000, 0.000, 0.328) and Pt at (0.000, 0.247, 0.418).

The value obtained for the energy of formation is -0.446 eV per atom.

---

6.
SmEr2Sb3 | GGA-PBE | relaxed

It has space group Immm (No. 71), with a = 4.393 Å, b = 6.214 Å, c = 13.177 Å, α = 90.00°, β = 90.00° and γ = 90.00°. The inequivalent atoms are Sm at (0.000, 0.000, 0.000), Er at (0.000, 0.000, 0.335), Sb at (0.000, 0.500, 0.000) and Sb at (0.000, 0.500, 0.329).

The calculation puts the raw formation energy at -1.12 eV per atom.

---

7.
LaY2Os | GGA-PBE | relaxed

It has space group Cm (No. 8), with a = 12.378 Å, b = 3.660 Å, c = 5.335 Å, α = 90.00°, β = 115.22° and γ = 90.00°. The inequivalent atoms are La at (0.000, 0.000, 0.000), Y at (0.112, 0.500, 0.612), Y at (0.303, 0.500, 0.304) and Os at (0.303, 0.000, 0.783).

The value obtained for the energy of formation is -0.063 eV per atom.

---

8.
ScGeRh2 | GGA-PBE | relaxed

It has space group I-42d (No. 122), with a = 6.888 Å, b = 6.888 Å, c = 5.850 Å, α = 90.00°, β = 90.00° and γ = 90.00°. The inequivalent atoms are Sc at (0.000, 0.000, 0.000), Ge at (0.000, 0.000, 0.500) and Rh at (0.215, 0.250, 0.625).

The value obtained for the energy of formation is -0.407 eV per atom.

---

Computed calculated density, in the same sequence as the records: 4.803, 2.987, 6.600, 3.819, 16.529, 7.850, 7.698, 7.741 g cm⁻³.